# LiZr4Fe | Alexandria | PBE | optimized geometry
data_LiZr4Fe
_chemical_formula_sum 'Li4 Zr16 Fe4'
_cell_length_a 8.1175
_cell_length_b 8.1175
_cell_length_c 8.1175
_cell_angle_alpha 90.00
_cell_angle_beta 90.00
_cell_angle_gamma 90.00
_symmetry_space_group_name_H-M 'F -4 3 m'
_symmetry_Int_Tables_number 216
_symmetry_space_group_name_Hall 'F -4 2 3'
loop_
_atom_site_label
_atom_site_type_symbol
_atom_site_fract_x
_atom_site_fract_y
_atom_site_fract_z
Li1 Li 0.0000 0.0000 0.0000
Zr1 Zr 0.1239 0.1239 0.6239
Fe1 Fe 0.2500 0.2500 0.2500
# * final energy: -6.74 eV/atom
# * E_form: 0.684 eV per atom